Pr4CoAg | PBE-GGA | optimized geometry

The value obtained for the density of states at the Fermi level is 6.22 states/eV/f.u.

The space group is C2/c (No. 15) and the conventional cell measures 8.862, 14.031 and 6.224 Å, with angles of 90.00, 117.07 and 90.00 degrees. The distinct sites, in fractional coordinates, are Pr at (0.117, 0.186, 0.084), Pr at (0.230, 0.434, 0.328), Co at (0.000, 0.006, 0.250) and Ag at (0.000, 0.378, 0.750).

***

Li3Ac2AgO6 | PBE-GGA | optimized geometry

The value obtained for the uncorrected formation energy is -23.20 eV/f.u.

The space group is C2/m (No. 12) and the conventional cell measures 5.858, 11.252 and 5.564 Å, with angles of 90.00, 108.19 and 90.00 degrees. The distinct sites, in fractional coordinates, are Li at (0.000, 0.000, 0.000), Li at (0.000, 0.399, 0.000), Ac at (0.000, 0.161, 0.500), Ag at (0.000, 0.500, 0.500), O at (0.184, 0.358, 0.732) and O at (0.206, 0.000, 0.776).

***

| no. | calculated total energy (eV/atom) |
| --- | --- |
| 1 | -4.913 |
| 2 | -5.814 |